1.
Density functional theory data (PBE) for crystalline Sm6Si2Te3I at its relaxed geometry.

Summary:
* calculated density: 6.778 g cm⁻³
* raw total energy: -64.02 eV for the cell shown
* space-group type: No. 12

Geometry as POSCAR:
```
Sm6Si2Te3I
1.0
9.589 -2.163 0.000
9.589 2.163 0.000
-2.006 0.000 8.670
Sm Si Te I
6 2 3 1
direct
0.019 0.019 0.274 Sm
0.323 0.323 0.878 Sm
0.327 0.327 0.431 Sm
0.673 0.673 0.569 Sm
0.677 0.677 0.122 Sm
0.981 0.981 0.726 Sm
0.170 0.170 0.338 Si
0.830 0.830 0.662 Si
0.157 0.157 0.838 Te
0.500 0.500 0.500 Te
0.843 0.843 0.162 Te
0.500 0.500 0.000 I
```

2.
Density functional theory data (PBE) for crystalline PrSnSb3 at its relaxed geometry.

Summary:
* calculated density: 7.065 g cm⁻³
* raw total energy: -93.20 eV for the cell shown
* space-group type: No. 57

Geometry as POSCAR:
```
PrSnSb3
1.0
14.566 0.000 0.000
0.000 6.231 0.000
0.000 0.000 6.474
Pr Sn Sb
4 4 12
direct
0.171 0.001 0.250 Pr
0.171 0.499 0.750 Pr
0.829 0.501 0.250 Pr
0.829 0.999 0.750 Pr
0.389 0.250 0.000 Sn
0.389 0.250 0.500 Sn
0.611 0.750 0.000 Sn
0.611 0.750 0.500 Sn
0.001 0.250 0.000 Sb
0.001 0.250 0.500 Sb
0.230 0.506 0.250 Sb
0.230 0.994 0.750 Sb
0.400 0.712 0.750 Sb
0.400 0.788 0.250 Sb
0.600 0.212 0.750 Sb
0.600 0.288 0.250 Sb
0.770 0.006 0.250 Sb
0.770 0.494 0.750 Sb
0.999 0.750 0.000 Sb
0.999 0.750 0.500 Sb
```